The following is a DFT calculation (GGA-PBE) of a relaxed structure of CrCuSn2Hg.

Properties
For the energy relative to the elements, the calculation gives 5.666 eV/f.u. The calculation puts the density of states at the Fermi level at 3.049 states/eV/f.u. The value obtained for the total energy is -16.36 eV/cell.

Cell: 5.503 5.503 5.180 Å, 90.00 90.00 90.00°
Space group P4/mmm (No. 123)
Asymmetric unit:
Cr1 0.000 0.000 0.000 (multiplicity 1)
Cu1 0.500 0.500 0.000 (multiplicity 1)
Sn1 0.000 0.500 0.500 (multiplicity 2)
Hg1 0.000 0.000 0.500 (multiplicity 1)

The following is a DFT calculation (GGA-PBE) of a relaxed structure of TbU5P6.

Properties
For the energy relative to the elements, the calculation gives -12.797 eV/f.u. The calculation puts the density of states at the Fermi level at 27.956 states/eV/f.u. The value obtained for the total energy is -212.65 eV/cell.

Cell: 6.840 11.863 6.841 Å, 90.00 109.54 90.00°
Space group C2/m (No. 12)
Asymmetric unit:
Tb1 0.000 0.000 0.000 (multiplicity 2)
U1 0.000 0.165 0.500 (multiplicity 4)
U2 0.000 0.333 0.000 (multiplicity 4)
U3 0.000 0.500 0.500 (multiplicity 2)
P1 0.247 0.500 0.251 (multiplicity 4)
P2 0.248 0.332 0.748 (multiplicity 8)

The following is a DFT calculation (GGA-PBE) of a relaxed structure of CdO.

Properties
The calculation puts the density of states at the Fermi level at 0.013 states/eV/f.u. The formation energy (no corrections) is -953 meV per atom. The value obtained for the total energy is -46.67 eV/cell.

Cell: 8.7110 8.7110 3.7614 Å, 90.00 90.00 120.00°
Space group P6_3/m (No. 176)
Asymmetric unit:
Cd1 0.0849 0.6785 0.2500 (multiplicity 6)
O1 0.0740 0.4067 0.2500 (multiplicity 6)

The following is a DFT calculation (GGA-PBE) of a relaxed structure of ZrTaSi.

Properties
The calculation puts the density of states at the Fermi level at 4.785 states/eV/f.u. The formation energy (no corrections) is -17 meV per atom. The value obtained for the total energy is -25.88 eV/cell.

Cell: 4.6741 4.6741 2.9430 Å, 90.00 90.00 120.00°
Space group P3m1 (No. 156)
Asymmetric unit:
Zr1 0.0000 0.0000 0.0000 (multiplicity 1)
Ta1 0.6667 0.3333 0.5017 (multiplicity 1)
Si1 0.3333 0.6667 0.4949 (multiplicity 1)